Record 1
# Sc6InRu5

Crystalline Sc6InRu5 at its relaxed geometry (PBE, the Alexandria database).

## Properties
VASP energy: -7.8267 eV per atom
Crystal system: orthorhombic
Energy of formation from the pure elements: -6.81 eV per formula unit

a = 4.5993 Å, b = 6.6050 Å, c = 13.6975 Å
α = 90.00°, β = 90.00°, γ = 90.00°
Space group Immm (No. 71)
Inequivalent atoms, fractional coordinates:
Sc 0.0000 0.2273 0.0000
Sc 0.0000 0.2617 0.3256
In 0.0000 0.0000 0.5000
Ru 0.0000 0.0000 0.1679
Ru 0.0000 0.5000 0.1614
Ru 0.0000 0.5000 0.5000



Record 2
# ScInRu2

Crystalline ScInRu2 at its relaxed geometry (PBE, the Alexandria database).

## Properties
VASP energy: -6.8739 eV per atom
Crystal system: trigonal
Energy of formation from the pure elements: 0.13 eV per formula unit

a = 3.0763 Å, b = 3.0763 Å, c = 25.3312 Å
α = 90.00°, β = 90.00°, γ = 120.00°
Space group R-3m (No. 166, hexagonal axes)
Inequivalent atoms, fractional coordinates:
Sc 0.0000 0.0000 0.0000
In 0.0000 0.0000 0.5000
Ru 0.0000 0.0000 0.2519



Record 3
# ScInRu

Crystalline ScInRu at its relaxed geometry (PBE, the Alexandria database).

## Properties
VASP energy: -6.2345 eV per atom
Crystal system: trigonal
Energy of formation from the pure elements: -0.36 eV per formula unit

a = 3.2167 Å, b = 3.2167 Å, c = 6.5833 Å
α = 90.00°, β = 90.00°, γ = 120.00°
Space group P3m1 (No. 156)
Inequivalent atoms, fractional coordinates:
Sc 0.0000 0.0000 0.0000
In 0.6667 0.3333 0.3955
Ru 0.3333 0.6667 0.7172



Record 4
# ScInRu2

Crystalline ScInRu2 at its relaxed geometry (PBE, the Alexandria database).

## Properties
VASP energy: -7.0426 eV per atom
Crystal system: tetragonal
Energy of formation from the pure elements: -0.55 eV per formula unit

a = 3.8840 Å, b = 3.8840 Å, c = 8.9636 Å
α = 90.00°, β = 90.00°, γ = 90.00°
Space group I-4m2 (No. 119)
Inequivalent atoms, fractional coordinates:
Sc 0.0000 0.0000 0.0000
In 0.0000 0.5000 0.7500
Ru 0.0000 0.0000 0.5000
Ru 0.0000 0.5000 0.2500



Record 5
# ScInRu2

Crystalline ScInRu2 at its relaxed geometry (PBE, the Alexandria database).

## Properties
VASP energy: -7.1975 eV per atom
Crystal system: tetragonal
Energy of formation from the pure elements: -1.17 eV per formula unit

a = 4.4874 Å, b = 4.4874 Å, c = 3.3100 Å
α = 90.00°, β = 90.00°, γ = 90.00°
Space group P4/mmm (No. 123)
Inequivalent atoms, fractional coordinates:
Sc 0.0000 0.0000 0.0000
In 0.5000 0.5000 0.0000
Ru 0.0000 0.5000 0.5000



Record 6
# Sc6In3Ru

Crystalline Sc6In3Ru at its relaxed geometry (PBE, the Alexandria database).

## Properties
VASP energy: -5.9687 eV per atom
Crystal system: monoclinic
Energy of formation from the pure elements: -4.21 eV per formula unit

a = 8.6493 Å, b = 4.9449 Å, c = 10.6300 Å
α = 90.00°, β = 106.92°, γ = 90.00°
Space group P2_1/m (No. 11)
Inequivalent atoms, fractional coordinates:
Sc 0.0486 0.2500 0.4186
Sc 0.1942 0.7500 0.1707
Sc 0.2851 0.2500 0.0070
Sc 0.3546 0.7500 0.8242
Sc 0.3678 0.2500 0.3306
Sc 0.4082 0.2500 0.6419
In 0.0164 0.7500 0.8818
In 0.1075 0.2500 0.7187
In 0.2804 0.7500 0.4793
Ru 0.4612 0.7500 0.0954



Record 7
# ScInRu2

Crystalline ScInRu2 at its relaxed geometry (PBE, the Alexandria database).

## Properties
VASP energy: -6.9446 eV per atom
Crystal system: orthorhombic
Energy of formation from the pure elements: -0.16 eV per formula unit

a = 3.2392 Å, b = 4.8455 Å, c = 8.6635 Å
α = 90.00°, β = 90.00°, γ = 90.00°
Space group Immm (No. 71)
Inequivalent atoms, fractional coordinates:
Sc 0.0000 0.0000 0.0000
In 0.0000 0.0000 0.5000
Ru 0.0000 0.5000 0.2578



Record 8
# ScIn3Ru

Crystalline ScIn3Ru at its relaxed geometry (PBE, the Alexandria database).

## Properties
VASP energy: -4.5453 eV per atom
Crystal system: cubic
Polymorph energy (0 for the lowest one): 0.0000 eV/atom
Energy of formation from the pure elements: 1.10 eV per formula unit

a = 5.0703 Å, b = 5.0703 Å, c = 5.0703 Å
α = 90.00°, β = 90.00°, γ = 90.00°
Space group Pm-3m (No. 221)
Inequivalent atoms, fractional coordinates:
Sc 0.0000 0.0000 0.0000
In 0.0000 0.5000 0.5000
Ru 0.5000 0.5000 0.5000



Record 9
# ScInRu2

Crystalline ScInRu2 at its relaxed geometry (PBE, the Alexandria database).

## Properties
VASP energy: -6.8917 eV per atom
Crystal system: cubic
Energy of formation from the pure elements: 0.05 eV per formula unit

a = 6.5059 Å, b = 6.5059 Å, c = 6.5059 Å
α = 90.00°, β = 90.00°, γ = 90.00°
Space group F-43m (No. 216)
Inequivalent atoms, fractional coordinates:
Sc 0.0000 0.0000 0.0000
In 0.2500 0.2500 0.7500
Ru 0.0000 0.0000 0.5000
Ru 0.2500 0.2500 0.2500



Record 10
# ScInRu2

Crystalline ScInRu2 at its relaxed geometry (PBE, the Alexandria database).

## Properties
VASP energy: -6.7479 eV per atom
Crystal system: trigonal
Energy of formation from the pure elements: 0.63 eV per formula unit

a = 3.0195 Å, b = 3.0195 Å, c = 26.9976 Å
α = 90.00°, β = 90.00°, γ = 120.00°
Space group R3m (No. 160, hexagonal axes)
Inequivalent atoms, fractional coordinates:
Sc 0.0000 0.0000 0.0000
In 0.0000 0.0000 0.7654
Ru 0.0000 0.0000 0.2559
Ru 0.0000 0.0000 0.5152



Record 11
# Sc6In5Ru

Crystalline Sc6In5Ru at its relaxed geometry (PBE, the Alexandria database).

## Properties
VASP energy: -5.5334 eV per atom
Crystal system: orthorhombic
Energy of formation from the pure elements: -5.44 eV per formula unit

a = 4.9808 Å, b = 14.8590 Å, c = 6.9329 Å
α = 90.00°, β = 90.00°, γ = 90.00°
Space group Cmmm (No. 65)
Inequivalent atoms, fractional coordinates:
Sc 0.0000 0.0000 0.2384
Sc 0.0000 0.3440 0.2379
In 0.0000 0.1683 0.0000
In 0.0000 0.1736 0.5000
In 0.0000 0.5000 0.5000
Ru 0.0000 0.5000 0.0000



Record 12
# ScIn3Ru

Crystalline ScIn3Ru at its relaxed geometry (PBE, the Alexandria database).

## Properties
VASP energy: -3.4419 eV per atom
Crystal system: cubic
Polymorph energy (0 for the lowest one): 1.1034 eV/atom
Energy of formation from the pure elements: 6.61 eV per formula unit

a = 5.4210 Å, b = 5.4210 Å, c = 5.4210 Å
α = 90.00°, β = 90.00°, γ = 90.00°
Space group Pm-3m (No. 221)
Inequivalent atoms, fractional coordinates:
Sc 0.0000 0.0000 0.0000
In 0.0000 0.0000 0.5000
Ru 0.5000 0.5000 0.5000



Record 13
# Sc2In2Ru

Crystalline Sc2In2Ru at its relaxed geometry (PBE, the Alexandria database).

## Properties
VASP energy: -5.6290 eV per atom
Crystal system: tetragonal
Polymorph energy (0 for the lowest one): 0.2637 eV/atom
Energy of formation from the pure elements: -0.73 eV per formula unit

a = 7.2642 Å, b = 7.2642 Å, c = 3.9785 Å
α = 90.00°, β = 90.00°, γ = 90.00°
Space group P4/mbm (No. 127)
Inequivalent atoms, fractional coordinates:
Sc 0.1705 0.3295 0.0000
In 0.1383 0.6383 0.5000
Ru 0.0000 0.0000 0.5000



Record 14
# ScInRu3

Crystalline ScInRu3 at its relaxed geometry (PBE, the Alexandria database).

## Properties
VASP energy: -5.8852 eV per atom
Crystal system: cubic
Polymorph energy (0 for the lowest one): 0.2538 eV/atom
Energy of formation from the pure elements: 7.47 eV per formula unit

a = 4.8329 Å, b = 4.8329 Å, c = 4.8329 Å
α = 90.00°, β = 90.00°, γ = 90.00°
Space group Pm-3m (No. 221)
Inequivalent atoms, fractional coordinates:
Sc 0.0000 0.0000 0.0000
In 0.5000 0.5000 0.5000
Ru 0.0000 0.5000 0.5000



Record 15
# Sc2In2Ru3

Crystalline Sc2In2Ru3 at its relaxed geometry (PBE, the Alexandria database).

## Properties
VASP energy: -6.8269 eV per atom
Crystal system: monoclinic
Energy of formation from the pure elements: -1.82 eV per formula unit

a = 7.8950 Å, b = 4.5429 Å, c = 7.7342 Å
α = 90.00°, β = 109.69°, γ = 90.00°
Space group C2/m (No. 12)
Inequivalent atoms, fractional coordinates:
Sc 0.1227 0.0000 0.3678
In 0.1266 0.5000 0.8820
Ru 0.0000 0.5000 0.5000
Ru 0.2470 0.0000 0.7404



Record 16
# ScInRu3

Crystalline ScInRu3 at its relaxed geometry (PBE, the Alexandria database).

## Properties
VASP energy: -6.1390 eV per atom
Crystal system: cubic
Polymorph energy (0 for the lowest one): 0.0000 eV/atom
Energy of formation from the pure elements: 6.20 eV per formula unit

a = 4.6241 Å, b = 4.6241 Å, c = 4.6241 Å
α = 90.00°, β = 90.00°, γ = 90.00°
Space group Pm-3m (No. 221)
Inequivalent atoms, fractional coordinates:
Sc 0.0000 0.0000 0.0000
In 0.5000 0.5000 0.5000
Ru 0.0000 0.0000 0.5000



Record 17
# ScInRu

Crystalline ScInRu at its relaxed geometry (PBE, the Alexandria database).

## Properties
VASP energy: -6.3055 eV per atom
Crystal system: cubic
Energy of formation from the pure elements: -0.57 eV per formula unit

a = 6.3654 Å, b = 6.3654 Å, c = 6.3654 Å
α = 90.00°, β = 90.00°, γ = 90.00°
Space group F-43m (No. 216)
Inequivalent atoms, fractional coordinates:
Sc 0.0000 0.0000 0.0000
In 0.0000 0.0000 0.5000
Ru 0.2500 0.2500 0.7500



Record 18
# ScInRu

Crystalline ScInRu at its relaxed geometry (PBE, the Alexandria database).

## Properties
VASP energy: -6.3553 eV per atom
Crystal system: trigonal
Energy of formation from the pure elements: -0.72 eV per formula unit

a = 4.5473 Å, b = 4.5473 Å, c = 3.1138 Å
α = 90.00°, β = 90.00°, γ = 120.00°
Space group P3m1 (No. 156)
Inequivalent atoms, fractional coordinates:
Sc 0.0000 0.0000 0.0000
In 0.6667 0.3333 0.4359
Ru 0.3333 0.6667 0.7558



Record 19
# Sc4In3Ru

Crystalline Sc4In3Ru at its relaxed geometry (PBE, the Alexandria database).

## Properties
VASP energy: -5.8615 eV per atom
Crystal system: tetragonal
Energy of formation from the pure elements: -4.07 eV per formula unit

a = 3.3394 Å, b = 3.3394 Å, c = 15.0365 Å
α = 90.00°, β = 90.00°, γ = 90.00°
Space group P4/mmm (No. 123)
Inequivalent atoms, fractional coordinates:
Sc 0.0000 0.0000 0.1000
Sc 0.0000 0.0000 0.3661
In 0.5000 0.5000 0.2343
In 0.5000 0.5000 0.5000
Ru 0.5000 0.5000 0.0000



Record 20
# Sc2InSi2Ru5

Crystalline Sc2InSi2Ru5 at its relaxed geometry (PBE, the Alexandria database).

## Properties
VASP energy: -7.8468 eV per atom
Crystal system: tetragonal
Formation energy from raw total energies: -0.58 eV/atom

a = 9.8585 Å, b = 9.8585 Å, c = 3.2542 Å
α = 90.00°, β = 90.00°, γ = 90.00°
Space group P4/mbm (No. 127)
Inequivalent atoms, fractional coordinates:
Sc 0.1728 0.3272 0.0000
In 0.0000 0.0000 0.0000
Si 0.1271 0.6271 0.0000
Ru 0.0000 0.5000 0.5000
Ru 0.0708 0.7880 0.5000